No. 1
Here is a relaxed structure of Li2Ni2AsO6 from the Alexandria database. Energies are from PBE with a Hubbard U.

a b c (Å): 5.007 5.007 5.201
angles (deg): 100.33 100.33 118.02
Fractional positions:
Li  0.830  0.170  0.000
As  0.000  0.000  0.500
O  0.059  0.376  0.718
O  0.770  0.770  0.709
Ni  0.665  0.335  0.500
O  0.230  0.230  0.291
O  0.624  0.941  0.282
Ni  0.335  0.665  0.500
Li  0.170  0.830  0.000
O  0.376  0.059  0.718
O  0.941  0.624  0.282

- ρ (Mg/m³) = 4.6
- Fermi-level density of states (states/eV per atom) = 0.208
- volume (Å³ per cell) = 107.93
- total energy (Ha/atom) = -0.19592

---

No. 2
Here is a relaxed structure of Li2NiAs2O6 from the Alexandria database. Energies are from PBE with a Hubbard U.

a b c (Å): 5.235 5.235 6.325
angles (deg): 90.00 90.00 120.00
Fractional positions:
O  0.691  0.652  0.184
Li  0.333  0.667  0.157
O  0.652  0.962  0.816
As  0.333  0.667  0.709
O  0.348  0.038  0.184
O  0.038  0.691  0.816
O  0.962  0.309  0.184
Ni  0.000  0.000  0.000
O  0.309  0.348  0.816
As  0.667  0.333  0.291
Li  0.667  0.333  0.843

- ρ (Mg/m³) = 3.5
- Fermi-level density of states (states/eV per atom) = 0.318
- volume (Å³ per cell) = 150.08
- total energy (Ha/atom) = -0.19931

---

No. 3
Here is a relaxed structure of LiNiAsO4 from the Alexandria database. Energies are from PBE with a Hubbard U.

a b c (Å): 4.929 5.986 10.443
angles (deg): 90.00 90.00 90.00
Fractional positions:
Li  0.500  0.000  0.500
As  0.065  0.250  0.594
Ni  0.007  0.750  0.728
As  0.935  0.750  0.406
As  0.435  0.250  0.094
O  0.295  0.250  0.943
Ni  0.493  0.750  0.228
O  0.718  0.250  0.596
O  0.227  0.472  0.670
O  0.227  0.028  0.670
O  0.273  0.028  0.170
O  0.218  0.750  0.904
O  0.705  0.750  0.057
O  0.282  0.750  0.404
O  0.782  0.250  0.096
O  0.727  0.528  0.830
O  0.773  0.528  0.330
Ni  0.993  0.250  0.272
Li  0.500  0.500  0.500
Li  0.000  0.000  0.000
O  0.273  0.472  0.170
O  0.727  0.972  0.830
O  0.795  0.750  0.557
As  0.565  0.750  0.906
O  0.773  0.972  0.330
Li  0.000  0.500  0.000
Ni  0.507  0.250  0.772
O  0.205  0.250  0.443

- ρ (Mg/m³) = 4.4
- Fermi-level density of states (states/eV per atom) = 0.000
- volume (Å³ per cell) = 308.13
- ΔE to the lowest computed polymorph (eV per atom) = 0.000

---

No. 4
Here is a relaxed structure of LiNiAs2O6 from the Alexandria database. Energies are from PBE with a Hubbard U.

a b c (Å): 6.008 7.649 7.649
angles (deg): 77.44 64.10 64.10
Fractional positions:
As  0.729  0.192  0.379
O  0.871  0.375  0.873
O  0.929  0.330  0.349
Li  0.250  0.172  0.828
Li  0.750  0.828  0.172
O  0.429  0.349  0.330
As  0.771  0.621  0.808
Ni  0.750  0.222  0.778
O  0.071  0.670  0.651
O  0.371  0.873  0.375
O  0.571  0.651  0.670
O  0.129  0.625  0.127
As  0.271  0.808  0.621
Ni  0.250  0.778  0.222
O  0.901  0.992  0.236
O  0.599  0.764  0.008
O  0.401  0.236  0.992
O  0.629  0.127  0.625
O  0.099  0.008  0.764
As  0.229  0.379  0.192

- ρ (Mg/m³) = 3.6
- Fermi-level density of states (states/eV per atom) = 0.184
- volume (Å³ per cell) = 284.27
- total energy (Ha/atom) = -0.20512

---

Q: What is the formula in the fourth record?
A: LiNiAs2O6

---

Please write out number 3 again, unchanged.
Here is a relaxed structure of LiNiAsO4 from the Alexandria database. Energies are from PBE with a Hubbard U.

a b c (Å): 4.929 5.986 10.443
angles (deg): 90.00 90.00 90.00
Fractional positions:
Li  0.500  0.000  0.500
As  0.065  0.250  0.594
Ni  0.007  0.750  0.728
As  0.935  0.750  0.406
As  0.435  0.250  0.094
O  0.295  0.250  0.943
Ni  0.493  0.750  0.228
O  0.718  0.250  0.596
O  0.227  0.472  0.670
O  0.227  0.028  0.670
O  0.273  0.028  0.170
O  0.218  0.750  0.904
O  0.705  0.750  0.057
O  0.282  0.750  0.404
O  0.782  0.250  0.096
O  0.727  0.528  0.830
O  0.773  0.528  0.330
Ni  0.993  0.250  0.272
Li  0.500  0.500  0.500
Li  0.000  0.000  0.000
O  0.273  0.472  0.170
O  0.727  0.972  0.830
O  0.795  0.750  0.557
As  0.565  0.750  0.906
O  0.773  0.972  0.330
Li  0.000  0.500  0.000
Ni  0.507  0.250  0.772
O  0.205  0.250  0.443

- ρ (Mg/m³) = 4.4
- Fermi-level density of states (states/eV per atom) = 0.000
- volume (Å³ per cell) = 308.13
- ΔE to the lowest computed polymorph (eV per atom) = 0.000